# 1
Density functional theory data (PBE) for a relaxed structure of Pr7Sm2Sc2.

Summary:
For the relative energy among the computed polymorphs, the calculation gives 0.023 eV per atom. The value obtained for the density of states at the Fermi level is 1.56 states/eV per atom. As for the symmetry: C2/m (12). Its total magnetization is 0.00 μB per formula unit. As for the total energy: -54.098 eV/cell. The calculation puts the formation energy at 0.133 eV/atom.

a b c (Å): 8.2910 6.9268 6.9268
angles (deg): 104.05 81.92 81.92
Fractional coordinates of all 11 atoms:
Pr1 0.1794 0.0836 0.5129
Pr2 0.8206 0.4871 0.9164
Pr3 0.8206 0.9164 0.4871
Pr4 0.1794 0.5129 0.0836
Pr5 0.0000 0.0000 0.0000
Pr6 0.4814 0.7994 0.7994
Pr7 0.5186 0.2006 0.2006
Sm1 0.8173 0.4217 0.4217
Sm2 0.1827 0.5783 0.5783
Sc1 0.5000 0.2887 0.7113
Sc2 0.5000 0.7113 0.2887

# 2
Density functional theory data (PBE) for a relaxed structure of Pr5SmSc2.

Summary:
The value obtained for the density of states at the Fermi level is 1.50 states/eV per atom. As for the symmetry: I4/mcm (140). Its total magnetization is 0.00 μB per formula unit. As for the total energy: -80.214 eV/cell. The calculation puts the formation energy at 0.147 eV/atom.

a b c (Å): 9.2166 9.2166 9.0500
angles (deg): 120.61 120.61 90.00
Fractional coordinates of all 16 atoms:
Pr1 0.4882 0.6944 0.6826
Pr2 0.8056 0.0118 0.3174
Pr3 0.0000 0.0000 0.0000
Pr4 0.5000 0.5000 0.0000
Pr5 0.1944 0.9882 0.6826
Pr6 0.6944 0.1944 0.6826
Pr7 0.9882 0.4882 0.6826
Pr8 0.3056 0.8056 0.3174
Pr9 0.0118 0.5118 0.3174
Pr10 0.5118 0.3056 0.3174
Sm1 0.7500 0.7500 0.5000
Sm2 0.2500 0.2500 0.5000
Sc1 0.1518 0.3482 0.0000
Sc2 0.6518 0.1518 0.0000
Sc3 0.3482 0.8482 0.0000
Sc4 0.8482 0.6518 0.0000

# 3
Density functional theory data (PBE) for a relaxed structure of PrSm14Sc.

Summary:
The value obtained for the density of states at the Fermi level is 1.42 states/eV per atom. As for the symmetry: P4/mmm (123). Its total magnetization is 0.00 μB per formula unit. As for the total energy: -76.814 eV/cell. The calculation puts the formation energy at 0.023 eV/atom.

a b c (Å): 7.2293 7.2293 10.1911
angles (deg): 90.00 90.00 90.01
Fractional coordinates of all 16 atoms:
Pr1 0.8752 0.1248 0.0000
Sm1 0.3749 0.6251 0.5000
Sm2 0.8749 0.1251 0.5000
Sm3 0.8749 0.6247 0.0000
Sm4 0.8752 0.6251 0.5000
Sm5 0.3753 0.1251 0.0000
Sm6 0.3749 0.1248 0.5000
Sm7 0.6218 0.8719 0.7527
Sm8 0.6218 0.8719 0.2473
Sm9 0.1281 0.3782 0.7527
Sm10 0.1281 0.3782 0.2473
Sm11 0.1280 0.8720 0.7529
Sm12 0.1280 0.8720 0.2471
Sm13 0.6220 0.3780 0.7526
Sm14 0.6220 0.3780 0.2474
Sc1 0.3749 0.6251 0.0000

# 4
Density functional theory data (PBE) for a relaxed structure of Pr7Sm2Sc2.

Summary:
For the relative energy among the computed polymorphs, the calculation gives 0.000 eV per atom. The value obtained for the density of states at the Fermi level is 1.52 states/eV per atom. As for the symmetry: P-1 (2). Its total magnetization is 0.00 μB per formula unit. As for the total energy: -54.349 eV/cell. The calculation puts the formation energy at 0.110 eV/atom.

a b c (Å): 6.7315 8.6575 10.0021
angles (deg): 87.24 139.32 98.21
Fractional coordinates of all 11 atoms:
Pr1 0.4295 0.3301 0.0588
Pr2 0.6723 0.6504 0.3609
Pr3 0.5705 0.6699 0.9412
Pr4 0.3277 0.3496 0.6391
Pr5 0.6664 0.2257 0.5253
Pr6 0.0000 0.0000 0.0000
Pr7 0.3336 0.7743 0.4747
Sm1 0.1684 0.9632 0.7376
Sm2 0.8316 0.0368 0.2624
Sc1 0.9523 0.6084 0.8378
Sc2 0.0477 0.3916 0.1622